Entry 1:
Density functional theory data (PBE) for TiMnHg2 after structural relaxation.

Cell lengths 3.943, 3.943, 10.184 Å; angles 78.84, 78.84, 90.00 degrees
Fractional positions:
Mn 0.750 0.250 0.500
Hg 0.375 0.366 0.750
Hg 0.634 0.125 0.250
Ti 0.500 0.500 0.000
Mn 0.000 0.000 0.000
Ti 0.250 0.750 0.500
Hg 0.875 0.884 0.750
Hg 0.116 0.625 0.250

SG = No. 122

---

Entry 2:
Density functional theory data (PBE) for In12Ga5Ge3 after structural relaxation.

Cell lengths 14.274, 14.274, 14.274 Å; angles 109.47, 109.47, 109.47 degrees
Fractional positions:
Ga 0.625 0.875 0.250
In 0.557 0.328 0.929
Ga 0.000 0.500 0.000
In 0.443 0.772 0.872
In 0.872 0.272 0.443
In 0.228 0.557 0.628
In 0.372 0.429 0.100
In 0.900 0.071 0.628
Ge 0.375 0.625 0.250
In 0.272 0.872 0.943
In 0.328 0.557 0.429
In 0.929 0.828 0.557
In 0.728 0.600 0.172
Ga 0.500 0.000 0.500
In 0.600 0.728 0.672
In 0.828 0.900 0.272
In 0.429 0.057 0.328
In 0.100 0.929 0.372
Ga 0.125 0.750 0.375
In 0.828 0.929 0.057
In 0.628 0.571 0.900
In 0.172 0.071 0.943
In 0.900 0.828 0.772
Ge 0.750 0.875 0.625
Ge 0.125 0.875 0.750
In 0.929 0.100 0.872
Ga 0.500 0.000 0.000
Ge 0.875 0.750 0.125
Ge 0.375 0.750 0.625
In 0.128 0.400 0.071
In 0.943 0.571 0.172
Ga 0.250 0.875 0.125
Ga 0.625 0.750 0.875
Ga 0.250 0.375 0.625
Ge 0.125 0.250 0.875
Ga 0.375 0.250 0.125
In 0.100 0.172 0.228
Ga 0.750 0.125 0.875
In 0.057 0.628 0.728
In 0.443 0.672 0.071
In 0.772 0.443 0.372
In 0.400 0.128 0.571
Ge 0.875 0.125 0.250
In 0.628 0.057 0.228
In 0.600 0.872 0.429
In 0.571 0.628 0.400
In 0.272 0.400 0.828
In 0.429 0.372 0.600
In 0.943 0.372 0.272
In 0.172 0.100 0.728
Ga 0.875 0.250 0.625
Ga 0.375 0.125 0.750
In 0.057 0.429 0.828
In 0.400 0.272 0.328
Ge 0.250 0.625 0.875
In 0.071 0.172 0.443
In 0.071 0.900 0.128
Ga 0.875 0.625 0.750
In 0.228 0.672 0.100
Ge 0.625 0.375 0.750
Ga 0.000 0.500 0.500
In 0.672 0.228 0.600
In 0.557 0.228 0.128
In 0.728 0.128 0.057
Ga 0.750 0.625 0.375
Ga 0.000 0.000 0.000
In 0.372 0.943 0.772
In 0.328 0.772 0.400
Ge 0.750 0.375 0.125
Ge 0.625 0.250 0.375
Ga 0.500 0.500 0.000
Ga 0.500 0.500 0.500
Ga 0.000 0.000 0.500
In 0.571 0.943 0.672
Ge 0.250 0.125 0.375
In 0.672 0.443 0.571
In 0.872 0.600 0.929
In 0.128 0.728 0.557
In 0.772 0.328 0.900
Ga 0.125 0.375 0.250

SG = No. 230

---

Entry 3:
Density functional theory data (PBE) for Sr2TmInCl8 after structural relaxation.

Cell lengths 6.740, 6.525, 9.066 Å; angles 90.01, 90.00, 90.02 degrees
Fractional positions:
Cl 0.358 0.278 0.500
Cl 0.834 0.218 0.794
Cl 0.691 0.740 0.000
Cl 0.166 0.782 0.206
Cl 0.642 0.722 0.500
In 0.000 0.000 0.500
Sr 0.500 0.500 0.249
Cl 0.166 0.782 0.794
Tm 0.000 0.000 0.000
Sr 0.500 0.500 0.751
Cl 0.309 0.260 0.000
Cl 0.834 0.218 0.206

Energy relative to the elements, uncorrected = -2115 meV per atom
SG = No. 10

---

Entry 4:
Density functional theory data (PBE) for Mg5CdHg6 after structural relaxation.

Cell lengths 8.873, 6.153, 6.101 Å; angles 59.72, 83.10, 76.22 degrees
Fractional positions:
Cd 0.000 0.000 0.000
Hg 0.252 0.259 0.000
Mg 0.000 0.668 0.665
Hg 0.254 0.916 0.661
Mg 0.500 0.836 0.328
Hg 0.748 0.741 0.000
Mg 0.000 0.332 0.335
Mg 0.500 0.500 0.000
Hg 0.746 0.423 0.661
Hg 0.746 0.084 0.339
Hg 0.254 0.577 0.339
Mg 0.500 0.164 0.672

Distance to the lowest polymorph of the same formula = 0.59 eV per formula unit
SG = No. 12

---

Taking the records one at a time from the top gives DFT total energy values of -3.69, -2.93, -4.23, -1.02 eV/atom.